Record 1
VASP calculation (PBE) on a relaxed Si2NiIr2 crystal.

Summary:
uncorrected formation energy	-0.379	eV/atom
total magnetic moment	0.00	μB/f.u.

The structure in POSCAR format:
```
Si2NiIr2
1.0
7.024 0.000 0.000
0.000 7.024 0.000
0.000 0.000 2.771
Si Ni Ir
4 2 4
direct
0.155 0.345 0.000 Si
0.345 0.845 0.000 Si
0.655 0.155 0.000 Si
0.845 0.655 0.000 Si
0.000 0.000 0.500 Ni
0.500 0.500 0.500 Ni
0.144 0.644 0.500 Ir
0.356 0.144 0.500 Ir
0.644 0.856 0.500 Ir
0.856 0.356 0.500 Ir
```

***

Record 2
VASP calculation (PBE) on a relaxed SiNi3Ir crystal.

Summary:
uncorrected formation energy	1.339	eV/atom
total magnetic moment	2.51	μB/f.u.
distance to the lowest polymorph of the same formula	664.1	meV per atom

The structure in POSCAR format:
```
SiNi3Ir
1.0
4.522 0.000 0.000
0.000 4.522 0.000
0.000 0.000 4.522
Si Ni Ir
1 3 1
direct
0.000 0.000 0.000 Si
0.000 0.500 0.500 Ni
0.500 0.000 0.500 Ni
0.500 0.500 0.000 Ni
0.500 0.500 0.500 Ir
```

***

Number 2 is which compound? SiNi3Ir

***

Repeat the second record exactly.
VASP calculation (PBE) on a relaxed SiNi3Ir crystal.

Summary:
uncorrected formation energy	1.339	eV/atom
total magnetic moment	2.51	μB/f.u.
distance to the lowest polymorph of the same formula	664.1	meV per atom

The structure in POSCAR format:
```
SiNi3Ir
1.0
4.522 0.000 0.000
0.000 4.522 0.000
0.000 0.000 4.522
Si Ni Ir
1 3 1
direct
0.000 0.000 0.000 Si
0.000 0.500 0.500 Ni
0.500 0.000 0.500 Ni
0.500 0.500 0.000 Ni
0.500 0.500 0.500 Ir
```

***

What is the formula in the second record? SiNi3Ir

***

Which of these has the lowest total magnetic moment? Si2NiIr2